Record 1
Compound: KZrCd
Source: Alexandria
Functional: PBE
Structure: relaxed

abc: 5.096 5.096 5.096
angles: 60.00 60.00 60.00
Atoms (fractional coordinates):
K  0.750  0.750  0.750
Cd  0.500  0.500  0.500
Zr  0.000  0.000  0.000

* density: 4.31 g cm⁻³
* E above lowest polymorph: 1092.5 meV per atom
* space group: F-43m (216)
* DFT total energy: -6.17 eV for the cell shown

=====

Record 2
Compound: Li2HoErHg4
Source: Alexandria
Functional: PBE
Structure: relaxed

abc: 5.002 5.002 8.652
angles: 73.20 73.20 60.00
Atoms (fractional coordinates):
Li  0.250  0.250  0.250
Li  0.750  0.750  0.750
Er  0.500  0.500  0.500
Hg  0.875  0.875  0.376
Hg  0.125  0.125  0.624
Hg  0.375  0.375  0.874
Hg  0.625  0.625  0.126
Ho  0.000  0.000  0.000

* density: 10.79 g cm⁻³
* space group: R-3m (166)
* DFT total energy: -17.63 eV for the cell shown

=====

Record 3
Compound: AcSm2Fe
Source: Alexandria
Functional: PBE
Structure: relaxed

abc: 3.592 3.592 9.296
angles: 90.00 90.00 90.00
Last column: magnetic moment on the atom in μB.
Atoms (fractional coordinates):
Fe  0.500  0.500  0.000  2.14
Sm  0.000  0.000  0.177  -0.20
Sm  0.000  0.000  0.823  -0.20
Ac  0.500  0.500  0.500  0.07

* density: 8.08 g cm⁻³
* E above lowest polymorph: 0.0 meV per atom
* space group: P4/mmm (123)
* DFT total energy: -21.35 eV for the cell shown

=====

Record 4
Compound: Re2Sn2Te
Source: Alexandria
Functional: PBE
Structure: relaxed

abc: 7.898 7.898 3.172
angles: 90.00 90.00 90.00
Atoms (fractional coordinates):
Sn  0.645  0.855  0.500
Sn  0.145  0.645  0.500
Sn  0.855  0.355  0.500
Sn  0.355  0.145  0.500
Re  0.650  0.150  0.000
Re  0.350  0.850  0.000
Re  0.150  0.350  0.000
Re  0.850  0.650  0.000
Te  0.000  0.000  0.000
Te  0.500  0.500  0.000

* density: 12.38 g cm⁻³
* E above lowest polymorph: 0.0 meV per atom
* space group: P4/mbm (127)
* DFT total energy: -66.16 eV for the cell shown
* formation energy (no corrections): 0.593 eV/atom

=====

Record 5
Compound: BaHgAs2
Source: Alexandria
Functional: PBE
Structure: relaxed

abc: 4.138 4.138 6.668
angles: 90.00 90.00 84.38
Atoms (fractional coordinates):
Ba  0.500  0.500  0.250
As  0.000  0.000  0.936
As  0.000  0.000  0.564
Hg  0.500  0.500  0.750

* density: 7.13 g cm⁻³
* space group: Cmmm (65)
* DFT total energy: -12.42 eV for the cell shown

=====

Record 6
Compound: Pa2TlTe4
Source: Alexandria
Functional: PBE
Structure: relaxed

abc: 4.372 7.684 15.369
angles: 90.00 90.00 106.53
Last column: magnetic moment on the atom in μB.
Atoms (fractional coordinates):
Pa  0.136  0.272  0.439  1.06
Pa  0.864  0.728  0.561  1.06
Pa  0.136  0.272  0.061  1.06
Pa  0.864  0.728  0.939  1.06
Te  0.922  0.844  0.750  -0.04
Te  0.500  0.000  0.000  -0.04
Te  0.229  0.458  0.882  -0.04
Te  0.500  0.000  0.500  -0.04
Te  0.078  0.156  0.250  -0.04
Te  0.771  0.542  0.382  -0.04
Te  0.771  0.542  0.118  -0.04
Te  0.229  0.458  0.618  -0.04
Tl  0.406  0.811  0.250  0.00
Tl  0.594  0.189  0.750  0.00

* density: 7.89 g cm⁻³
* space group: Cmcm (63)
* DFT total energy: -77.03 eV for the cell shown
* formation energy (no corrections): -0.656 eV/atom

=====

Record 7
Compound: LiCu6Ni
Source: Alexandria
Functional: PBE
Structure: relaxed

abc: 4.175 5.110 5.110
angles: 120.00 90.00 90.00
Atoms (fractional coordinates):
Cu  0.000  0.582  0.418
Cu  0.500  0.915  0.581
Cu  0.500  0.915  0.085
Cu  0.000  0.087  0.418
Cu  0.000  0.582  0.913
Cu  0.500  0.419  0.085
Ni  0.500  0.417  0.583
Li  0.000  0.083  0.917

* density: 7.86 g cm⁻³
* space group: P-6m2 (187)
* DFT total energy: -32.46 eV for the cell shown

=====

Record 8
Compound: Sr3CaGa2
Source: Alexandria
Functional: PBE
Structure: relaxed

abc: 5.078 5.251 8.914
angles: 107.12 106.55 90.00
Atoms (fractional coordinates):
Ca  0.000  0.000  0.000
Sr  0.500  0.500  0.000
Sr  0.187  0.687  0.374
Sr  0.813  0.313  0.626
Ga  0.616  0.116  0.232
Ga  0.384  0.884  0.768

* density: 3.39 g cm⁻³
* space group: Immm (71)
* DFT total energy: -14.36 eV for the cell shown

=====

Record 9
Compound: DyNpCl6
Source: Alexandria
Functional: PBE
Structure: relaxed

abc: 7.073 7.073 6.702
angles: 97.52 97.52 122.42
Last column: magnetic moment on the atom in μB.
Atoms (fractional coordinates):
Cl  0.598  0.884  0.744  -0.01
Cl  0.255  0.255  0.747  -0.01
Cl  0.116  0.402  0.256  -0.01
Cl  0.745  0.745  0.253  -0.01
Cl  0.884  0.598  0.744  -0.01
Cl  0.402  0.116  0.256  -0.01
Np  0.000  0.000  0.000  3.94
Dy  0.500  0.500  0.500  0.02

* density: 3.73 g cm⁻³
* E above lowest polymorph: 0.0 meV per atom
* space group: C2/m (12)
* DFT total energy: -44.40 eV for the cell shown
* formation energy (no corrections): -1.972 eV/atom

=====

Record 10
Compound: TbPmNd3Y
Source: Alexandria
Functional: PBE
Structure: relaxed

abc: 5.135 8.138 10.308
angles: 90.00 90.00 108.39
Atoms (fractional coordinates):
Pm  0.501  0.001  0.250
Pm  0.499  0.999  0.750
Y  0.166  0.332  0.250
Y  0.834  0.668  0.750
Nd  0.166  0.332  0.750
Nd  0.665  0.331  0.500
Nd  0.665  0.331  0.000
Nd  0.335  0.669  0.500
Nd  0.335  0.669  0.000
Nd  0.834  0.668  0.250
Tb  0.000  0.000  0.500
Tb  0.000  0.000  0.000

* density: 6.71 g cm⁻³
* space group: Cmcm (63)
* DFT total energy: -60.12 eV for the cell shown

=====

Number 1: total moment 0.00 μB/f.u.. Number 2: total moment 0.00 μB/f.u.. Number 3: total moment 1.70 μB/f.u.. Number 4: total moment 0.00 μB/f.u.. Number 5: total moment 0.00 μB/f.u.. Number 6: total moment 2.36 μB/f.u.. Number 7: total moment 0.00 μB/f.u.. Number 8: total moment 0.56 μB/f.u.. Number 9: total moment 4.00 μB/f.u.. Number 10: total moment 0.00 μB/f.u..